Entry 1:
The following is a PBE-GGA calculation of a geometry-optimized TaAs2PtSe structure, from Alexandria via LeMat-Bulk.

```
TaAs2PtSe
1.0
-0.688 -4.527 -1.639
-0.871 -1.425 4.303
-4.726 0.951 -0.641
As Se Pt Ta
2 1 1 1
Cartesian
-2.363 0.475 -0.321 As
-0.344 -2.263 -0.819 As
0.000 0.000 0.000 Se
-0.435 -0.713 2.151 Pt
-3.143 -2.501 1.011 Ta
```

Values from the calculation:
Formation energy from raw total energies   1197 meV per atom

***

Entry 2:
The following is a PBE-GGA calculation of a geometry-optimized TmAsRu structure, from Alexandria via LeMat-Bulk.

```
TmAsRu
1.0
3.906 0.000 0.000
0.000 5.946 -0.380
0.000 -0.902 5.889
As Ru Tm
2 2 2
Cartesian
0.000 0.000 0.000 As
1.953 2.522 2.754 As
0.000 3.446 3.764 Ru
0.000 1.598 1.745 Ru
1.953 0.501 4.605 Tm
1.953 4.543 0.904 Tm
```

Values from the calculation:
Calculated formation energy   -0.2383 eV/atom

***

Entry 3:
The following is a PBE-GGA calculation of a geometry-optimized Na2PdF4 structure, from Alexandria via LeMat-Bulk.

```
Na2PdF4
1.0
-1.219 -2.514 1.429
-2.161 -1.798 -5.005
4.828 -2.927 -1.033
Na Pd F
2 1 4
Cartesian
1.805 -2.721 0.198 Na
-1.690 -2.156 -1.788 Na
0.000 0.000 0.000 Pd
2.014 -3.568 -4.559 F
0.653 -1.157 -1.479 F
-0.449 -2.074 -4.032 F
3.116 -2.651 -2.006 F
```

Values from the calculation:
Formation energy from raw total energies   -2059 meV per atom

***

Entry 4:
The following is a PBE-GGA calculation of a geometry-optimized LaPt2Rh structure, from Alexandria via LeMat-Bulk.

```
LaPt2Rh
1.0
5.189 0.000 1.650
2.332 4.635 1.650
-0.167 -0.103 9.512
La Pt Rh
3 6 3
Cartesian
6.397 3.942 6.836 La
0.957 0.590 5.975 La
0.000 0.000 0.000 La
3.091 1.905 3.732 Pt
5.700 1.905 4.561 Pt
4.263 4.235 4.561 Pt
4.263 2.627 9.079 Pt
3.091 0.297 8.250 Pt
1.654 2.627 8.250 Pt
4.855 2.992 11.686 Rh
2.499 1.540 1.124 Rh
3.677 2.266 6.405 Rh
```

Values from the calculation:
Calculated formation energy   -0.8379 eV/atom

***

Entry 5:
The following is a PBE-GGA calculation of a geometry-optimized La8NiIr3Au4 structure, from Alexandria via LeMat-Bulk.

```
La8NiIr3Au4
1.0
8.480 0.000 0.000
0.000 8.741 0.176
-4.240 -4.237 6.000
La Ni Ir Au
8 1 3 4
Cartesian
-2.103 2.138 5.993 La
0.000 4.239 3.019 La
0.000 0.248 3.172 La
2.103 2.138 5.993 La
2.137 2.366 0.183 La
4.240 4.256 3.005 La
4.240 0.265 3.158 La
6.343 2.366 0.183 La
0.000 4.371 0.088 Ni
4.240 4.371 0.088 Ir
2.120 2.252 3.088 Ir
-2.120 2.252 3.088 Ir
4.240 0.000 0.000 Au
2.120 -2.119 3.000 Au
0.000 0.000 0.000 Au
-2.120 -2.119 3.000 Au
```

Values from the calculation:
Calculated formation energy   -0.7261 eV/atom

***

Entry 6:
The following is a PBE-GGA calculation of a geometry-optimized CsH6Se3 structure, from Alexandria via LeMat-Bulk.

```
CsH6Se3
1.0
10.404 0.000 0.000
-3.468 4.635 0.000
-3.468 -2.317 4.014
Cs H Se
1 6 3
Cartesian
4.583 0.000 0.000 Cs
-1.007 -1.049 1.817 H
-1.007 2.099 0.000 H
7.693 -0.400 0.693 H
7.693 0.801 0.000 H
0.757 1.917 3.320 H
2.461 1.268 2.196 H
7.950 2.464 0.000 Se
7.950 -1.232 2.134 Se
1.014 1.085 1.879 Se
```

Values from the calculation:
Uncorrected energy   -3.213 eV per atom

***

Entry 7:
The following is a PBE-GGA calculation of a geometry-optimized Nd6Tl5Cd structure, from Alexandria via LeMat-Bulk.

```
Nd6Tl5Cd
1.0
6.673 0.120 0.000
2.117 9.869 0.000
1.059 4.935 5.857
Nd Tl Cd
6 5 1
Cartesian
5.534 2.568 1.942 Nd
3.256 7.421 1.942 Nd
2.164 2.511 0.000 Nd
6.626 7.478 0.000 Nd
6.593 7.503 3.915 Nd
4.314 12.355 3.915 Nd
4.395 4.995 3.948 Tl
1.059 4.935 2.003 Tl
4.395 4.995 0.000 Tl
2.117 9.869 3.854 Tl
5.453 9.929 1.909 Tl
0.000 0.000 0.000 Cd
```

Values from the calculation:
Calculated formation energy   -0.2419 eV/atom

***

Entry 8:
The following is a PBE-GGA calculation of a geometry-optimized Y4ScCd5 structure, from Alexandria via LeMat-Bulk.

```
Y4ScCd5
1.0
-3.397 0.960 1.122
-1.394 -3.013 -1.643
2.447 -9.689 15.699
Y Sc Cd
4 1 5
Cartesian
0.473 -1.873 3.034 Y
0.973 -3.853 6.242 Y
1.474 -5.837 9.456 Y
1.974 -7.817 12.665 Y
0.000 0.000 0.000 Sc
-2.179 -1.885 1.130 Cd
-1.672 -3.891 4.380 Cd
-1.172 -5.872 7.589 Cd
-0.672 -7.852 10.798 Cd
-0.166 -9.858 14.047 Cd
```

Values from the calculation:
Calculated formation energy   -0.3372 eV/atom

***

Entry 9:
The following is a PBE-GGA calculation of a geometry-optimized Ca2SiSb structure, from Alexandria via LeMat-Bulk.

```
Ca2SiSb
1.0
-1.866 -1.824 -3.445
3.892 -1.077 -1.538
-0.304 -5.445 3.047
Ca Sb Si
2 1 1
Cartesian
-0.283 -5.082 2.844 Ca
0.918 -3.169 -1.530 Ca
-0.137 -2.454 1.373 Sb
0.770 -5.809 -0.052 Si
```

Values from the calculation:
Formation energy from raw total energies   -202 meV per atom

***

Entry 10:
The following is a PBE-GGA calculation of a geometry-optimized AsIO3 structure, from Alexandria via LeMat-Bulk.

```
AsIO3
1.0
3.167 0.000 0.000
-1.584 5.307 -0.175
0.000 -1.361 10.604
As I O
2 2 6
Cartesian
1.584 -0.091 9.405 As
0.000 4.037 1.024 As
1.584 2.451 6.778 I
0.000 1.495 3.651 I
0.000 3.057 4.675 O
1.584 0.889 5.754 O
1.584 1.578 8.902 O
0.000 2.368 1.527 O
0.000 -0.724 8.471 O
1.584 4.670 1.958 O
```

Values from the calculation:
Formation energy from raw total energies   -395 meV per atom

***

Entry 11:
The following is a PBE-GGA calculation of a geometry-optimized BeCoAg2 structure, from Alexandria via LeMat-Bulk.

```
BeCoAg2
1.0
3.696 0.000 0.000
0.000 3.696 0.000
1.848 1.848 9.020
Be Co Ag
2 2 4
Cartesian
1.848 1.848 0.000 Be
1.848 3.696 4.510 Be
0.000 0.000 0.000 Co
3.696 1.848 4.510 Co
2.757 0.924 2.255 Ag
0.940 2.772 2.255 Ag
2.772 2.788 6.765 Ag
4.620 4.605 6.765 Ag
```

Values from the calculation:
Calculated formation energy   0.6685 eV/atom

***

Entry 12:
The following is a PBE-GGA calculation of a geometry-optimized NdDyCdPt structure, from Alexandria via LeMat-Bulk.

```
NdDyCdPt
1.0
5.178 0.000 0.000
2.589 4.484 0.000
2.589 1.495 4.228
Cd Nd Pt Dy
1 1 1 1
Cartesian
2.589 1.495 1.057 Cd
5.178 2.990 2.114 Nd
7.767 4.484 3.171 Pt
0.000 0.000 0.000 Dy
```

Values from the calculation:
Calculated formation energy   -0.6651 eV/atom

***

Number 1: magnetization 0.0 μB/f.u.. Number 2: magnetization 0.0 μB/f.u.. Number 3: magnetization 0.0 μB/f.u.. Number 4: magnetization 0.0 μB/f.u.. Number 5: magnetization 0.0 μB/f.u.. Number 6: magnetization 0.0 μB/f.u.. Number 7: magnetization 0.0 μB/f.u.. Number 8: magnetization 0.0 μB/f.u.. Number 9: magnetization 0.0 μB/f.u.. Number 10: magnetization 0.0 μB/f.u.. Number 11: magnetization 1.4 μB/f.u.. Number 12: magnetization 0.0 μB/f.u..